The following is a DFT calculation (PBE) of a relaxed Ag2Ge crystal.

Unit cell a=3.236 b=3.236 c=10.498 alpha=90.00 beta=90.00 gamma=90.00
Space group I4/mmm (No. 139)
Inequivalent atoms, fractional coordinates:
Ag: 0.000 0.000 0.162 [4 per cell]
Ge: 0.000 0.000 0.500 [2 per cell]

Properties
* energy of formation from the pure elements: 0.152 eV/atom

The following is a DFT calculation (PBE) of a relaxed CaCd2Pt crystal.

Unit cell a=6.941 b=6.941 c=6.941 alpha=90.00 beta=90.00 gamma=90.00
Space group Fm-3m (No. 225)
Inequivalent atoms, fractional coordinates:
Ca: 0.000 0.000 0.000 [4 per cell]
Cd: 0.250 0.250 0.250 [8 per cell]
Pt: 0.000 0.000 0.500 [4 per cell]

Properties
* energy of formation from the pure elements: -0.408 eV/atom

The following is a DFT calculation (PBE) of a relaxed Ti2ZnCr2 crystal.

Unit cell a=6.784 b=6.784 c=3.198 alpha=90.00 beta=90.00 gamma=90.00
Space group P4/mbm (No. 127)
Inequivalent atoms, fractional coordinates:
Ti: 0.190 0.310 0.000 [4 per cell]
Zn: 0.000 0.000 0.500 [2 per cell]
Cr: 0.105 0.605 0.500 [4 per cell]

Properties
* energy of formation from the pure elements: 0.115 eV/atom

The following is a DFT calculation (PBE) of a relaxed SiGeOF2 crystal.

Unit cell a=4.329 b=4.329 c=3.821 alpha=90.00 beta=90.00 gamma=90.00
Space group P4/mmm (No. 123)
Inequivalent atoms, fractional coordinates:
Si: 0.000 0.000 0.000 [1 per cell]
Ge: 0.500 0.500 0.500 [1 per cell]
O: 0.500 0.500 0.000 [1 per cell]
F: 0.000 0.500 0.500 [2 per cell]

Properties
* calculated total energy: -23.0 eV/cell

The following is a DFT calculation (PBE) of a relaxed BeAg2Cl crystal.

Unit cell a=2.977 b=6.011 c=8.374 alpha=90.00 beta=90.00 gamma=90.00
Space group Immm (No. 71)
Inequivalent atoms, fractional coordinates:
Be: 0.000 0.000 0.000 [2 per cell]
Ag: 0.000 0.500 0.274 [4 per cell]
Cl: 0.000 0.000 0.500 [2 per cell]

Properties
* calculated total energy: -20.8 eV/cell

The following is a DFT calculation (PBE) of a relaxed CuHgTe2 crystal.

Unit cell a=3.3298 b=3.3298 c=36.5959 alpha=90.00 beta=90.00 gamma=120.00
Space group R-3m (No. 166, hexagonal axes)
Inequivalent atoms, fractional coordinates:
Cu: 0.0000 0.0000 0.0000 [3 per cell]
Hg: 0.0000 0.0000 0.5000 [3 per cell]
Te: 0.0000 0.0000 0.0673 [6 per cell]

Properties
* calculated total energy: -30.0 eV/cell

The following is a DFT calculation (PBE) of a relaxed Nd2SnO crystal.

Unit cell a=9.459 b=4.244 c=11.567 alpha=90.00 beta=90.00 gamma=90.00
Space group Pnma (No. 62)
Inequivalent atoms, fractional coordinates:
Nd: 0.014 0.250 0.230 [4 per cell]
Nd: 0.153 0.750 0.477 [4 per cell]
Sn: 0.237 0.250 0.700 [4 per cell]
O: 0.060 0.250 0.422 [4 per cell]

Properties
* calculated total energy: -102.0 eV/cell

The following is a DFT calculation (PBE) of a relaxed PrTlRuO6 crystal.

Unit cell a=5.686 b=9.860 c=4.654 alpha=90.00 beta=90.12 gamma=90.00
Space group C2 (No. 5)
Inequivalent atoms, fractional coordinates:
Pr: 0.000 0.000 0.000 [2 per cell]
Tl: 0.000 0.333 0.500 [2 per cell]
Ru: 0.000 0.667 0.000 [2 per cell]
O: 0.141 0.526 0.238 [4 per cell]
O: 0.141 0.807 0.238 [4 per cell]
O: 0.219 0.167 0.237 [4 per cell]

Properties
* calculated total energy: -115.7 eV/cell

The following is a DFT calculation (PBE) of a relaxed BaLiTl2Cu crystal.

Unit cell a=5.281 b=5.281 c=5.166 alpha=90.00 beta=90.00 gamma=90.00
Space group P4/mmm (No. 123)
Inequivalent atoms, fractional coordinates:
Ba: 0.000 0.000 0.000 [1 per cell]
Li: 0.500 0.500 0.000 [1 per cell]
Tl: 0.000 0.500 0.500 [2 per cell]
Cu: 0.500 0.500 0.500 [1 per cell]

Properties
* energy of formation from the pure elements: -0.083 eV/atom

The following is a DFT calculation (PBE) of a relaxed Tc2Br3O4 crystal.

Unit cell a=5.648 b=8.073 c=11.354 alpha=103.58 beta=100.61 gamma=90.22
Space group P-1 (No. 2)
Inequivalent atoms, fractional coordinates:
Tc: 0.009 0.068 0.385 [2 per cell]
Tc: 0.489 0.643 0.616 [2 per cell]
Br: 0.055 0.831 0.218 [2 per cell]
Br: 0.372 0.951 0.059 [2 per cell]
Br: 0.439 0.512 0.779 [2 per cell]
O: 0.180 0.083 0.541 [2 per cell]
O: 0.248 0.215 0.353 [2 per cell]
O: 0.251 0.811 0.647 [2 per cell]
O: 0.319 0.555 0.460 [2 per cell]

Properties
* calculated total energy: -106.7 eV/cell

The following is a DFT calculation (PBE) of a relaxed SiSb crystal.

Unit cell a=4.454 b=3.770 c=5.819 alpha=90.00 beta=104.14 gamma=90.00
Space group P2_1/m (No. 11)
Inequivalent atoms, fractional coordinates:
Si: 0.159 0.250 0.472 [2 per cell]
Sb: 0.352 0.750 0.163 [2 per cell]

Properties
* calculated total energy: -18.0 eV/cell

The following is a DFT calculation (PBE) of a relaxed Y3CuAg2 crystal.

Unit cell a=3.578 b=3.578 c=10.898 alpha=90.00 beta=90.00 gamma=90.00
Space group P4/mmm (No. 123)
Inequivalent atoms, fractional coordinates:
Y: 0.000 0.000 0.000 [1 per cell]
Y: 0.000 0.000 0.344 [2 per cell]
Cu: 0.500 0.500 0.500 [1 per cell]
Ag: 0.500 0.500 0.171 [2 per cell]

Properties
* energy of formation from the pure elements: -0.300 eV/atom

Across the entries above, volume takes the values 18.33, 20.90, 14.72, 14.32, 18.73, 29.28, 29.02, 14.50, 28.82, 27.45, 23.69, 23.25 Å³/atom, respectively.